1.
The following is a DFT calculation (GGA-PBE) of a geometry-optimized Li2Zn7Ag3 structure.

Structure (extended XYZ):
```
12
Lattice="4.443 0.000 0.000 0.000 2.775 0.000 -0.759 0.000 15.433" Properties=species:S:1:pos:R:3 pbc="T T T"
Li 0.723 0.000 4.561
Li 2.962 0.000 10.872
Zn 0.705 1.388 2.294
Zn 0.734 0.000 7.043
Zn 0.754 0.000 12.325
Zn 2.222 1.388 0.000
Zn 2.930 0.000 3.107
Zn 2.950 0.000 8.390
Zn 2.979 1.388 13.138
Ag 0.000 0.000 0.000
Ag 0.729 1.388 9.620
Ag 2.955 1.388 5.812
```

Computed properties:
The volume is 190 Å³ per cell. The space group is No. 10. The density comes out at 6.9 g cm⁻³. As for the formation energy: -0.0656 eV per atom.


2.
The following is a DFT calculation (GGA-PBE) of a geometry-optimized LiZn6Ag2 structure.

Structure (extended XYZ):
```
9
Lattice="0.000 4.197 4.197 4.197 0.000 4.197 4.197 4.197 0.000" Properties=species:S:1:pos:R:3 pbc="T T T"
Li 0.000 0.000 0.000
Zn 4.197 4.197 2.330
Zn 4.197 2.330 4.197
Zn 6.064 4.197 4.197
Zn 2.330 4.197 4.197
Zn 4.197 6.064 4.197
Zn 4.197 4.197 6.064
Ag 2.098 2.098 2.098
Ag 6.295 6.295 6.295
```

Computed properties:
The volume is 148 Å³ per cell. The space group is No. 225. As for the energy relative to the lowest polymorph listed for this composition: 0.113 eV per atom. The density comes out at 6.9 g cm⁻³. As for the formation energy: 0.1774 eV per atom.


3.
The following is a DFT calculation (GGA-PBE) of a geometry-optimized Li2Zn3Ag2 structure.

Structure (extended XYZ):
```
7
Lattice="4.695 -2.214 0.000 4.695 2.214 0.000 -0.494 0.000 5.224" Properties=species:S:1:pos:R:3 pbc="T T T"
Li 1.841 0.000 1.781
Li 7.056 0.000 3.444
Zn 2.965 0.000 4.809
Zn 4.449 0.000 2.612
Zn 5.932 0.000 0.416
Ag 0.372 0.000 4.060
Ag 8.526 0.000 1.164
```

Computed properties:
The volume is 109 Å³ per cell. The space group is No. 12. As for the energy relative to the lowest polymorph listed for this composition: 0.000 eV per atom. The density comes out at 6.5 g cm⁻³. As for the formation energy: -0.1696 eV per atom.


4.
The following is a DFT calculation (GGA-PBE) of a geometry-optimized LiZn6Ag4 structure.

Structure (extended XYZ):
```
11
Lattice="7.562 0.000 0.000 -3.781 6.549 0.000 0.000 0.000 4.103" Properties=species:S:1:pos:R:3 pbc="T T T"
Li 0.000 0.000 0.000
Zn 0.000 2.632 2.051
Zn -1.502 5.233 2.051
Zn 3.781 0.453 0.000
Zn 2.283 3.048 0.000
Zn 1.502 5.233 2.051
Zn 5.279 3.048 0.000
Ag 0.000 4.366 0.000
Ag 2.231 1.288 2.051
Ag 5.331 1.288 2.051
Ag 3.781 3.973 2.051
```

Computed properties:
The volume is 203 Å³ per cell. The space group is No. 187. The density comes out at 6.8 g cm⁻³. As for the formation energy: 0.0615 eV per atom.


5.
The following is a DFT calculation (GGA-PBE) of a geometry-optimized LiZn4Ag structure.

Structure (extended XYZ):
```
6
Lattice="0.000 3.595 3.595 3.595 0.000 3.595 3.595 3.595 0.000" Properties=species:S:1:pos:R:3 pbc="T T T"
Li 0.000 0.000 0.000
Zn 4.494 2.696 2.696
Zn 2.696 4.494 2.696
Zn 2.696 2.696 4.494
Zn 4.494 4.494 4.494
Ag 1.797 1.797 1.797
```

Computed properties:
The volume is 93 Å³ per cell. The space group is No. 216. The density comes out at 6.7 g cm⁻³. As for the formation energy: -0.1310 eV per atom.


6.
The following is a DFT calculation (GGA-PBE) of a geometry-optimized Li2Zn9Ag structure.

Structure (extended XYZ):
```
24
Lattice="8.715 0.000 0.000 0.000 8.715 0.000 0.000 0.000 5.021" Properties=species:S:1:pos:R:3 pbc="T T T"
Li 1.017 3.341 0.000
Li 3.341 7.698 0.000
Li 5.375 1.017 0.000
Li 7.698 5.375 0.000
Zn 0.000 4.358 2.511
Zn 0.520 1.759 2.511
Zn 1.570 5.927 1.197
Zn 1.570 5.927 3.824
Zn 1.759 8.195 2.511
Zn 2.599 3.838 2.511
Zn 2.788 1.570 1.197
Zn 2.788 1.570 3.824
Zn 3.838 6.117 2.511
Zn 4.358 0.000 2.511
Zn 4.878 2.599 2.511
Zn 5.927 7.146 1.197
Zn 5.927 7.146 3.824
Zn 6.117 4.878 2.511
Zn 6.956 0.520 2.511
Zn 7.146 2.788 1.197
Zn 7.146 2.788 3.824
Zn 8.195 6.956 2.511
Ag 0.000 0.000 0.000
Ag 4.358 4.358 0.000
```

Computed properties:
The volume is 381 Å³ per cell. The space group is No. 127. The density comes out at 6.2 g cm⁻³. As for the formation energy: -0.0511 eV per atom.


7.
The following is a DFT calculation (GGA-PBE) of a geometry-optimized LiZnAg5 structure.

Structure (extended XYZ):
```
7
Lattice="4.151 0.000 0.000 0.000 4.151 0.000 0.000 0.000 7.329" Properties=species:S:1:pos:R:3 pbc="T T T"
Li 0.000 0.000 0.000
Zn 2.076 2.076 3.665
Ag 0.000 2.076 2.006
Ag 0.000 2.076 5.323
Ag 2.076 0.000 2.006
Ag 2.076 0.000 5.323
Ag 2.076 2.076 0.000
```

Computed properties:
The volume is 126 Å³ per cell. The space group is No. 123. As for the energy relative to the lowest polymorph listed for this composition: 0.000 eV per atom. The density comes out at 8.0 g cm⁻³. As for the formation energy: -0.0074 eV per atom.


8.
The following is a DFT calculation (GGA-PBE) of a geometry-optimized Li6ZnAg2 structure.

Structure (extended XYZ):
```
9
Lattice="6.726 -3.862 0.000 6.726 3.862 0.000 -0.103 0.000 2.783" Properties=species:S:1:pos:R:3 pbc="T T T"
Li 4.389 1.285 2.777
Li 6.726 2.564 0.000
Li 4.389 -1.285 2.777
Li 8.960 1.285 0.006
Li 6.726 -2.564 0.000
Li 8.960 -1.285 0.006
Zn 6.674 0.000 1.392
Ag 2.191 0.000 1.391
Ag 11.158 0.000 1.392
```

Computed properties:
The volume is 145 Å³ per cell. The space group is No. 12. The density comes out at 3.7 g cm⁻³. As for the formation energy: -0.1392 eV per atom.


9.
The following is a DFT calculation (GGA-PBE) of a geometry-optimized LiZn12Ag7 structure.

Structure (extended XYZ):
```
20
Lattice="6.660 3.845 2.199 -6.660 3.845 2.199 0.000 -7.691 2.199" Properties=species:S:1:pos:R:3 pbc="T T T"
Li 0.000 0.000 0.000
Zn -2.084 -1.327 1.993
Zn -3.964 0.417 2.851
Zn -2.343 -3.225 3.745
Zn 1.621 -3.641 2.851
Zn -0.107 2.469 1.993
Zn 2.191 -1.142 1.993
Zn -2.191 1.142 4.604
Zn 0.107 -2.469 4.604
Zn -1.621 3.641 3.745
Zn 2.343 3.225 2.851
Zn 3.964 -0.417 3.745
Zn 2.084 1.327 4.604
Ag -2.140 1.171 0.926
Ag 0.056 -2.439 0.926
Ag 2.084 1.268 0.926
Ag 0.000 0.000 3.298
Ag -2.084 -1.268 5.671
Ag -0.056 2.439 5.671
Ag 2.140 -1.171 5.671
```

Computed properties:
The volume is 338 Å³ per cell. The space group is No. 148. The density comes out at 7.6 g cm⁻³. As for the formation energy: 0.0424 eV per atom.


10.
The following is a DFT calculation (GGA-PBE) of a geometry-optimized Li4ZnAg structure.

Structure (extended XYZ):
```
6
Lattice="0.000 3.593 3.593 3.593 0.000 3.593 3.593 3.593 0.000" Properties=species:S:1:pos:R:3 pbc="T T T"
Li 0.898 0.898 0.898
Li 2.695 2.695 0.898
Li 2.695 0.898 2.695
Li 0.898 2.695 2.695
Zn 5.389 5.389 5.389
Ag 3.593 3.593 3.593
```

Computed properties:
The volume is 93 Å³ per cell. The space group is No. 216. As for the energy relative to the lowest polymorph listed for this composition: 0.171 eV per atom. The density comes out at 3.6 g cm⁻³. As for the formation energy: 0.0195 eV per atom.


11.
The following is a DFT calculation (GGA-PBE) of a geometry-optimized Li5Zn4Ag2 structure.

Structure (extended XYZ):
```
11
Lattice="4.508 -2.785 0.000 4.508 2.785 0.000 -2.430 0.000 7.044" Properties=species:S:1:pos:R:3 pbc="T T T"
Li 0.000 0.000 0.000
Li 2.198 1.345 2.050
Li 4.388 1.345 4.994
Li 2.198 -1.345 2.050
Li 4.388 -1.345 4.994
Zn -0.083 0.000 2.786
Zn 0.766 0.000 7.026
Zn 5.821 0.000 0.017
Zn 6.669 0.000 4.258
Ag 2.116 0.000 4.563
Ag 4.471 0.000 2.480
```

Computed properties:
The volume is 177 Å³ per cell. The space group is No. 12. As for the energy relative to the lowest polymorph listed for this composition: 0.000 eV per atom. The density comes out at 4.8 g cm⁻³. As for the formation energy: -0.1334 eV per atom.